(1)
Computed, not measured: an optimized crystal structure of CeDy2Ir at the PBE level of DFT.

a = 3.736 Å, b = 3.736 Å, c = 10.713 Å
α = 79.96°, β = 79.96°, γ = 60.00°
Positions (direct):
Ir 0.500 0.500 0.500
Ce 0.000 0.000 0.000
Dy 0.113 0.113 0.660
Dy 0.887 0.887 0.340

Formation energy from the elements: -0.09 eV/atom
Raw total energy: -24.365 eV for the cell shown

---

(2)
Computed, not measured: an optimized crystal structure of AsAuSe3 at the PBE level of DFT.

a = 5.044 Å, b = 5.044 Å, c = 5.044 Å
α = 90.00°, β = 90.00°, γ = 90.00°
Positions (direct):
As 0.500 0.500 0.500
Au 0.000 0.000 0.000
Se 0.000 0.500 0.000
Se 0.000 0.000 0.500
Se 0.500 0.000 0.000

E_form (uncorrected): 0.792 eV/atom
Raw total energy: -14.420 eV for the cell shown

---

(3)
Computed, not measured: an optimized crystal structure of In2Hg at the PBE level of DFT.

a = 7.108 Å, b = 7.108 Å, c = 7.108 Å
α = 90.00°, β = 90.00°, γ = 90.00°
Positions (direct):
Hg 0.000 0.000 0.000
Hg 0.500 0.500 0.000
Hg 0.500 0.000 0.500
Hg 0.000 0.500 0.500
In 0.629 0.629 0.371
In 0.371 0.371 0.629
In 0.129 0.871 0.629
In 0.871 0.129 0.371
In 0.371 0.129 0.129
In 0.629 0.871 0.871
In 0.871 0.371 0.871
In 0.129 0.629 0.129

Formation energy from the elements: 0.12 eV/atom
Raw total energy: -21.654 eV for the cell shown

---

(4)
Computed, not measured: an optimized crystal structure of TaRh2C2 at the PBE level of DFT.

a = 3.707 Å, b = 3.707 Å, c = 4.914 Å
α = 67.84°, β = 67.84°, γ = 90.00°
Positions (direct):
C 0.414 0.414 0.171
C 0.586 0.586 0.829
Rh 0.750 0.250 0.500
Rh 0.250 0.750 0.500
Ta 0.000 0.000 0.000

Formation energy from the elements: 0.50 eV/atom
Raw total energy: -42.509 eV for the cell shown

---

(5)
Computed, not measured: an optimized crystal structure of CaAgRh at the PBE level of DFT.

a = 4.633 Å, b = 5.576 Å, c = 9.827 Å
α = 90.00°, β = 90.00°, γ = 90.00°
Positions (direct):
Ca 0.250 0.238 0.652
Ca 0.750 0.762 0.652
Ca 0.250 0.738 0.152
Ca 0.750 0.262 0.152
Rh 0.250 0.114 0.942
Rh 0.750 0.886 0.942
Rh 0.250 0.614 0.442
Rh 0.750 0.386 0.442
Ag 0.250 0.635 0.863
Ag 0.750 0.365 0.863
Ag 0.250 0.135 0.363
Ag 0.750 0.865 0.363

Formation energy from the elements: -0.20 eV/atom
Raw total energy: -51.158 eV for the cell shown

---

(6)
Computed, not measured: an optimized crystal structure of LaTb3Pm2 at the PBE level of DFT.

a = 11.830 Å, b = 11.830 Å, c = 10.482 Å
α = 71.50°, β = 71.50°, γ = 17.22°
Positions (direct):
La 0.315 0.315 0.037
La 0.685 0.685 0.963
Tb 0.304 0.304 0.716
Tb 0.067 0.067 0.240
Tb 0.439 0.439 0.449
Tb 0.696 0.696 0.284
Tb 0.561 0.561 0.551
Tb 0.933 0.933 0.760
Pm 0.308 0.308 0.372
Pm 0.692 0.692 0.628
Pm 0.933 0.933 0.143
Pm 0.067 0.067 0.857

Formation energy from the elements: 0.12 eV/atom
Raw total energy: -55.239 eV for the cell shown

---

What did we get for offset from the most stable computed form? Answer: 425 754 119 0 111 97 meV per atom, in the order shown.